Below is HgPH2 after structural relaxation, with properties calculated at the PBE level.

abc: 5.451 5.451 5.451
angles: 60.00 60.00 60.00
Positions (direct):
Hg  0.125  0.125  0.125
Hg  0.875  0.875  0.875
P  0.375  0.375  0.375
P  0.625  0.625  0.625
H  0.000  0.500  0.500
H  0.500  0.000  0.500
H  0.500  0.500  0.000
H  0.500  0.500  0.500

E above lowest polymorph = 0 meV per atom

Below is Y2TcHg after structural relaxation, with properties calculated at the PBE level.

abc: 3.573 3.573 9.165
angles: 100.77 100.77 59.29
Positions (direct):
Y  0.242  0.242  0.222
Y  0.758  0.758  0.778
Tc  0.500  0.500  0.000
Hg  0.000  0.000  0.500

Calculated formation energy = -0.06 eV/f.u.

Below is Li2ZrCl after structural relaxation, with properties calculated at the PBE level.

abc: 4.696 4.696 4.696
angles: 60.00 60.00 60.00
Positions (direct):
Li  0.000  0.000  0.000
Li  0.250  0.250  0.250
Zr  0.500  0.500  0.500
Cl  0.750  0.750  0.750

Formation energy from raw total energies = 0.19 eV per atom
E above lowest polymorph = 784 meV per atom